(1)
Below is a relaxed CsCoHg2Br crystal, with properties calculated at the PBE level.

Values from the calculation:
Uncorrected energy in eV per atom: -1.53
N(E_F) in states/eV/atom: 8.78

abc: 7.727 6.624 7.727
angles: 90.00 90.00 90.00
Element x y z (fractional)
Cs1 0.000 0.000 0.000
Co1 0.500 0.500 0.500
Hg1 0.000 0.000 0.500
Hg2 0.500 0.000 0.000
Br1 0.000 0.500 0.000



(2)
Below is a relaxed CsHoCo2Br8 crystal, with properties calculated at the PBE level.

Values from the calculation:
Uncorrected energy in eV per atom: -3.80

abc: 6.852 6.852 10.584
angles: 83.65 83.65 68.39
Element x y z (fractional)
Cs1 0.000 0.000 0.500
Ho1 0.000 0.000 0.000
Co1 0.614 0.614 0.201
Co2 0.386 0.386 0.799
Br1 0.768 0.270 0.804
Br2 0.753 0.753 0.008
Br3 0.685 0.685 0.398
Br4 0.315 0.315 0.602
Br5 0.247 0.247 0.992
Br6 0.270 0.768 0.804
Br7 0.730 0.232 0.196
Br8 0.232 0.730 0.196



(3)
Below is a relaxed Cs2CoIBr6 crystal, with properties calculated at the PBE level.

Values from the calculation:
Uncorrected energy in eV per atom: -2.85
N(E_F) in states/eV/atom: 0.42

abc: 8.355 8.355 8.185
angles: 59.31 59.31 90.00
Element x y z (fractional)
Cs1 0.750 0.250 0.500
Cs2 0.250 0.750 0.500
I1 0.000 0.000 0.000
Co1 0.500 0.500 0.000
Br1 0.243 0.243 0.515
Br2 0.757 0.757 0.485
Br3 0.300 0.300 0.000
Br4 0.700 0.700 0.000
Br5 0.700 0.300 0.000
Br6 0.300 0.700 0.000



(4)
Below is a relaxed Cs2InCoBr6 crystal, with properties calculated at the PBE level.

Values from the calculation:
Uncorrected energy in eV per atom: -3.16
N(E_F) in states/eV/atom: 0.00

abc: 7.749 7.749 7.743
angles: 59.98 59.98 90.00
Element x y z (fractional)
Cs1 0.750 0.250 0.500
Cs2 0.250 0.750 0.500
Co1 0.500 0.500 0.000
Br1 0.273 0.273 0.454
Br2 0.727 0.727 0.546
Br3 0.274 0.274 0.000
Br4 0.726 0.726 0.000
Br5 0.726 0.274 0.000
Br6 0.274 0.726 0.000
In1 0.000 0.000 0.000



(5)
Below is a relaxed CsKCo2Br6 crystal, with properties calculated at the PBE level.

Values from the calculation:
Uncorrected energy in eV per atom: -3.51

abc: 10.188 10.188 7.614
angles: 99.31 99.31 88.72
Element x y z (fractional)
Cs1 0.182 0.818 0.250
Cs2 0.818 0.182 0.750
K1 0.607 0.393 0.250
K2 0.393 0.607 0.750
Co1 0.296 0.136 0.761
Co2 0.864 0.704 0.739
Co3 0.704 0.864 0.239
Co4 0.136 0.296 0.261
Br1 0.922 0.385 0.185
Br2 0.615 0.078 0.315
Br3 0.078 0.615 0.815
Br4 0.385 0.922 0.685
Br5 0.184 0.120 0.022
Br6 0.880 0.816 0.478
Br7 0.816 0.880 0.978
Br8 0.120 0.184 0.522
Br9 0.299 0.468 0.327
Br10 0.532 0.701 0.173
Br11 0.701 0.532 0.673
Br12 0.468 0.299 0.827



(6)
Below is a relaxed CsKCoBr4 crystal, with properties calculated at the PBE level.

Values from the calculation:
Uncorrected energy in eV per atom: -3.43

abc: 7.426 7.683 9.963
angles: 90.00 109.02 90.00
Element x y z (fractional)
Cs1 0.714 0.750 0.923
Cs2 0.286 0.250 0.077
K1 0.780 0.750 0.454
K2 0.220 0.250 0.546
Co1 0.205 0.750 0.306
Co2 0.795 0.250 0.694
Br1 0.004 0.497 0.744
Br2 0.996 0.997 0.256
Br3 0.996 0.503 0.256
Br4 0.004 0.003 0.744
Br5 0.400 0.750 0.154
Br6 0.600 0.250 0.846
Br7 0.388 0.750 0.553
Br8 0.612 0.250 0.447



(7)
Below is a relaxed CsKCo2Br8 crystal, with properties calculated at the PBE level.

Values from the calculation:
Uncorrected energy in eV per atom: -3.26
N(E_F) in states/eV/atom: 1.04

abc: 7.217 7.217 11.129
angles: 71.08 71.08 60.00
Element x y z (fractional)
Cs1 0.500 0.500 0.500
K1 0.000 0.000 0.000
Co1 0.245 0.245 0.265
Co2 0.755 0.755 0.735
Br1 0.170 0.170 0.490
Br2 0.547 0.319 0.191
Br3 0.830 0.830 0.510
Br4 0.943 0.547 0.191
Br5 0.057 0.453 0.809
Br6 0.319 0.943 0.191
Br7 0.681 0.057 0.809
Br8 0.453 0.681 0.809



(8)
Below is a relaxed CsK3Co4Br12 crystal, with properties calculated at the PBE level.

Values from the calculation:
Uncorrected energy in eV per atom: -3.40
N(E_F) in states/eV/atom: 0.40

abc: 9.973 9.973 9.973
angles: 102.13 102.13 102.13
Element x y z (fractional)
Cs1 0.000 0.000 0.000
K1 0.543 0.457 0.000
K2 0.457 0.000 0.543
K3 0.000 0.543 0.457
Co1 0.950 0.050 0.500
Co2 0.050 0.500 0.950
Co3 0.500 0.950 0.050
Co4 0.500 0.500 0.500
Br1 0.500 0.351 0.649
Br2 0.900 0.500 0.100
Br3 0.100 0.900 0.500
Br4 0.500 0.100 0.900
Br5 0.342 0.947 0.192
Br6 0.192 0.342 0.947
Br7 0.947 0.192 0.342
Br8 0.658 0.808 0.053
Br9 0.053 0.658 0.808
Br10 0.808 0.053 0.658
Br11 0.649 0.500 0.351
Br12 0.351 0.649 0.500



(9)
Below is a relaxed CsLaCo2Br8 crystal, with properties calculated at the PBE level.

Values from the calculation:
Uncorrected energy in eV per atom: -3.87

abc: 6.990 6.990 11.225
angles: 71.86 71.86 60.00
Element x y z (fractional)
Cs1 0.500 0.500 0.500
La1 0.000 0.000 0.000
Co1 0.252 0.252 0.243
Co2 0.748 0.748 0.757
Br1 0.178 0.178 0.465
Br2 0.601 0.287 0.168
Br3 0.822 0.822 0.535
Br4 0.945 0.601 0.168
Br5 0.055 0.399 0.832
Br6 0.287 0.945 0.168
Br7 0.713 0.055 0.832
Br8 0.399 0.713 0.832



(10)
Below is a relaxed Cs3LiCo2Br8 crystal, with properties calculated at the PBE level.

Values from the calculation:
Uncorrected energy in eV per atom: -3.42

abc: 7.706 7.706 10.031
angles: 90.00 90.00 120.00
Element x y z (fractional)
Cs1 0.333 0.667 0.646
Cs2 0.667 0.333 0.354
Cs3 0.000 0.000 0.000
Li1 0.000 0.000 0.500
Co1 0.333 0.667 0.238
Co2 0.667 0.333 0.762
Br1 0.333 0.667 0.003
Br2 0.667 0.333 0.997
Br3 0.165 0.835 0.326
Br4 0.835 0.165 0.674
Br5 0.165 0.329 0.326
Br6 0.835 0.671 0.674
Br7 0.671 0.835 0.326
Br8 0.329 0.165 0.674



(11)
Below is a relaxed CsMgCo2Br8 crystal, with properties calculated at the PBE level.

Values from the calculation:
Uncorrected energy in eV per atom: -3.33
N(E_F) in states/eV/atom: 1.12

abc: 6.772 6.772 10.807
angles: 71.74 71.74 60.00
Element x y z (fractional)
Cs1 0.500 0.500 0.500
Mg1 0.000 0.000 0.000
Co1 0.257 0.257 0.228
Co2 0.743 0.743 0.772
Br1 0.180 0.180 0.459
Br2 0.621 0.271 0.158
Br3 0.820 0.820 0.541
Br4 0.950 0.621 0.158
Br5 0.050 0.379 0.842
Br6 0.271 0.950 0.158
Br7 0.729 0.050 0.842
Br8 0.379 0.729 0.842



(12)
Below is a relaxed Cs2MnCoBr6 crystal, with properties calculated at the PBE level.

Values from the calculation:
Uncorrected energy in eV per atom: -3.79
N(E_F) in states/eV/atom: 2.02

abc: 7.573 7.573 7.565
angles: 59.96 59.96 90.00
Element x y z (fractional)
Cs1 0.750 0.250 0.500
Cs2 0.250 0.750 0.500
Mn1 0.500 0.500 0.000
Co1 0.000 0.000 0.000
Br1 0.246 0.246 0.507
Br2 0.754 0.754 0.493
Br3 0.247 0.247 0.000
Br4 0.753 0.753 0.000
Br5 0.753 0.247 0.000
Br6 0.247 0.753 0.000



(13)
Below is a relaxed CsMnCo2Br8 crystal, with properties calculated at the PBE level.

Values from the calculation:
Uncorrected energy in eV per atom: -3.78
N(E_F) in states/eV/atom: 1.42

abc: 6.763 6.763 10.803
angles: 71.76 71.76 60.00
Element x y z (fractional)
Cs1 0.500 0.500 0.500
Mn1 0.000 0.000 0.000
Co1 0.258 0.258 0.227
Co2 0.742 0.742 0.773
Br1 0.180 0.180 0.459
Br2 0.622 0.271 0.158
Br3 0.820 0.820 0.541
Br4 0.948 0.622 0.158
Br5 0.052 0.378 0.842
Br6 0.271 0.948 0.158
Br7 0.729 0.052 0.842
Br8 0.378 0.729 0.842



(14)
Below is a relaxed Cs3NaCo2Br8 crystal, with properties calculated at the PBE level.

Values from the calculation:
Uncorrected energy in eV per atom: -3.39

abc: 7.857 7.857 10.128
angles: 90.00 90.00 120.00
Element x y z (fractional)
Cs1 0.333 0.667 0.642
Cs2 0.667 0.333 0.358
Cs3 0.000 0.000 0.000
Na1 0.000 0.000 0.500
Co1 0.333 0.667 0.227
Co2 0.667 0.333 0.773
Br1 0.333 0.667 0.994
Br2 0.667 0.333 0.006
Br3 0.169 0.831 0.315
Br4 0.831 0.169 0.685
Br5 0.169 0.338 0.315
Br6 0.831 0.662 0.685
Br7 0.662 0.831 0.315
Br8 0.338 0.169 0.685



(15)
Below is a relaxed Cs2NaCoBr6 crystal, with properties calculated at the PBE level.

Values from the calculation:
Uncorrected energy in eV per atom: -3.14

abc: 7.715 7.715 7.715
angles: 60.00 60.00 60.00
Element x y z (fractional)
Cs1 0.750 0.750 0.750
Cs2 0.250 0.250 0.250
Na1 0.500 0.500 0.500
Co1 0.000 0.000 0.000
Br1 0.225 0.775 0.775
Br2 0.225 0.775 0.225
Br3 0.225 0.225 0.775
Br4 0.775 0.775 0.225
Br5 0.775 0.225 0.225
Br6 0.775 0.225 0.775



(16)
Below is a relaxed Cs3Na3CoBr8 crystal, with properties calculated at the PBE level.

Values from the calculation:
Uncorrected energy in eV per atom: -3.14
N(E_F) in states/eV/atom: 0.04

abc: 8.891 8.899 9.680
angles: 117.42 90.00 119.97
Element x y z (fractional)
Cs1 0.000 0.000 0.000
Cs2 0.000 0.500 0.000
Cs3 0.500 0.500 0.000
Na1 0.500 0.000 0.500
Na2 0.500 0.500 0.500
Na3 0.000 0.500 0.500
Co1 0.000 0.000 0.500
Br1 0.268 0.536 0.304
Br2 0.732 0.464 0.696
Br3 0.795 0.590 0.322
Br4 0.205 0.410 0.678
Br5 0.795 0.027 0.322
Br6 0.205 0.973 0.678
Br7 0.232 0.027 0.322
Br8 0.768 0.973 0.678



(17)
Below is a relaxed Cs2CoNiBr6 crystal, with properties calculated at the PBE level.

Values from the calculation:
Uncorrected energy in eV per atom: -3.30
N(E_F) in states/eV/atom: 1.96

abc: 7.413 7.413 7.413
angles: 60.00 60.00 90.00
Element x y z (fractional)
Cs1 0.750 0.250 0.500
Cs2 0.250 0.750 0.500
Ni1 0.000 0.000 0.000
Co1 0.500 0.500 0.000
Br1 0.249 0.249 0.501
Br2 0.751 0.751 0.499
Br3 0.250 0.250 0.000
Br4 0.750 0.750 0.000
Br5 0.750 0.250 0.000
Br6 0.250 0.750 0.000



(18)
Below is a relaxed CsNpCo2Br8 crystal, with properties calculated at the PBE level.

Values from the calculation:
Uncorrected energy in eV per atom: -4.34
N(E_F) in states/eV/atom: 0.56

abc: 6.883 6.883 11.365
angles: 72.37 72.37 60.00
Element x y z (fractional)
Cs1 0.500 0.500 0.500
Np1 0.000 0.000 0.000
Co1 0.255 0.255 0.236
Co2 0.745 0.745 0.764
Br1 0.182 0.182 0.455
Br2 0.612 0.281 0.160
Br3 0.818 0.818 0.545
Br4 0.947 0.612 0.160
Br5 0.053 0.388 0.840
Br6 0.281 0.947 0.160
Br7 0.719 0.053 0.840
Br8 0.388 0.719 0.840